# LaTc2Mo

A geometry-optimized LaTc2Mo structure (GGA-PBE, Alexandria via LeMat-Bulk).

Formation enthalpy at 0 K   0.51 eV/atom

abc: 4.745 4.745 3.257
angles: 90.00 90.00 90.00
Atoms (fractional coordinates):
La 0.500 0.000 0.500
Mo 0.000 0.500 0.500
Tc 0.000 0.000 0.000
Tc 0.500 0.500 0.000

***

# LaTc4Mo

A geometry-optimized LaTc4Mo structure (GGA-PBE, Alexandria via LeMat-Bulk).

Formation enthalpy at 0 K   0.36 eV/atom

abc: 5.320 5.320 5.320
angles: 60.00 60.00 60.00
Atoms (fractional coordinates):
La 0.750 0.750 0.750
Tc 0.877 0.374 0.374
Tc 0.374 0.374 0.877
Tc 0.374 0.877 0.374
Tc 0.374 0.374 0.374
Mo 0.000 0.000 0.000

***

# LaTc2Mo

A geometry-optimized LaTc2Mo structure (GGA-PBE, Alexandria via LeMat-Bulk).

Formation enthalpy at 0 K   0.36 eV/atom

abc: 4.147 2.977 6.383
angles: 80.96 90.00 90.00
Atoms (fractional coordinates):
La 0.500 0.250 0.250
Mo 0.500 0.750 0.750
Tc 0.000 0.996 0.934
Tc 0.000 0.504 0.566

***

# LaTcTeMo2

A geometry-optimized LaTcTeMo2 structure (GGA-PBE, Alexandria via LeMat-Bulk).

ΔE_f (raw)   8.88 eV per formula unit

abc: 4.914 5.769 4.914
angles: 90.00 90.00 90.00
Atoms (fractional coordinates):
Mo 0.000 0.000 0.500
Mo 0.500 0.000 0.000
Te 0.000 0.000 0.000
Tc 0.500 0.500 0.500
La 0.000 0.500 0.000

***

# La2TiTcMo

A geometry-optimized La2TiTcMo structure (GGA-PBE, Alexandria via LeMat-Bulk).

Formation enthalpy at 0 K   1.02 eV/atom

abc: 5.471 4.636 5.471
angles: 90.00 90.00 90.00
Atoms (fractional coordinates):
Mo 0.000 0.000 0.000
Ti 0.000 0.500 0.000
Tc 0.500 0.500 0.500
La 0.000 0.000 0.500
La 0.500 0.000 0.000

***

# LaZrTc2Mo

A geometry-optimized LaZrTc2Mo structure (GGA-PBE, Alexandria via LeMat-Bulk).

Formation enthalpy at 0 K   1.24 eV/atom

abc: 4.893 4.931 4.893
angles: 90.00 90.00 90.00
Atoms (fractional coordinates):
Mo 0.000 0.500 0.000
Tc 0.000 0.000 0.500
Tc 0.500 0.000 0.000
Zr 0.000 0.000 0.000
La 0.500 0.500 0.500

***

# La2TeMo

A geometry-optimized La2TeMo structure (GGA-PBE, Alexandria via LeMat-Bulk).

ΔE_f (raw)   -0.87 eV per formula unit

abc: 7.588 5.357 3.811
angles: 89.92 59.98 122.02
Atoms (fractional coordinates):
La 0.000 0.000 0.000
La 0.500 0.000 0.500
Mo 0.000 0.500 0.500
Te 0.500 0.500 0.000

***

# La4TeMo

A geometry-optimized La4TeMo structure (GGA-PBE, Alexandria via LeMat-Bulk).

ΔE_f (raw)   3.15 eV per formula unit

abc: 6.340 6.340 6.340
angles: 60.00 60.00 60.00
Atoms (fractional coordinates):
La 0.872 0.376 0.376
La 0.376 0.376 0.872
La 0.376 0.872 0.376
La 0.376 0.376 0.376
Te 0.000 0.000 0.000
Mo 0.750 0.750 0.750

***

# LaTeMo

A geometry-optimized LaTeMo structure (GGA-PBE, Alexandria via LeMat-Bulk).

ΔE_f (raw)   -0.42 eV per formula unit
Relative energy among the computed polymorphs   0.000 eV/f.u.

abc: 4.696 4.696 4.008
angles: 90.00 90.00 120.00
Atoms (fractional coordinates):
La 0.000 0.000 0.000
Mo 0.333 0.667 0.500
Te 0.667 0.333 0.500

***

# LaTe3Mo

A geometry-optimized LaTe3Mo structure (GGA-PBE, Alexandria via LeMat-Bulk).

ΔE_f (raw)   3.30 eV per formula unit
Relative energy among the computed polymorphs   4.574 eV/f.u.

abc: 6.109 6.109 6.109
angles: 90.00 90.00 90.00
Atoms (fractional coordinates):
La 0.000 0.000 0.000
Te 0.000 0.500 0.000
Te 0.000 0.000 0.500
Te 0.500 0.000 0.000
Mo 0.500 0.500 0.500

***

# LaTeMo

A geometry-optimized LaTeMo structure (GGA-PBE, Alexandria via LeMat-Bulk).

ΔE_f (raw)   -0.40 eV per formula unit
Relative energy among the computed polymorphs   0.013 eV/f.u.

abc: 6.398 6.398 3.527
angles: 74.00 73.99 32.00
Atoms (fractional coordinates):
La 0.988 0.988 0.012
Mo 0.309 0.309 0.691
Te 0.703 0.703 0.297

***

# LaTeMo

A geometry-optimized LaTeMo structure (GGA-PBE, Alexandria via LeMat-Bulk).

ΔE_f (raw)   0.42 eV per formula unit
Relative energy among the computed polymorphs   0.840 eV/f.u.

abc: 3.800 3.800 6.434
angles: 90.00 90.00 120.00
Atoms (fractional coordinates):
La 0.000 0.000 0.011
Mo 0.333 0.667 0.372
Te 0.667 0.333 0.617

***

# LaTeMo

A geometry-optimized LaTeMo structure (GGA-PBE, Alexandria via LeMat-Bulk).

ΔE_f (raw)   0.25 eV per formula unit
Relative energy among the computed polymorphs   0.663 eV/f.u.

abc: 4.788 4.788 4.788
angles: 60.00 60.00 60.00
Atoms (fractional coordinates):
La 0.500 0.500 0.500
Mo 0.750 0.750 0.750
Te 0.000 0.000 0.000

***

# La2TeMo

A geometry-optimized La2TeMo structure (GGA-PBE, Alexandria via LeMat-Bulk).

ΔE_f (raw)   -0.32 eV per formula unit

abc: 6.137 6.137 6.137
angles: 136.59 136.59 63.08
Atoms (fractional coordinates):
La 0.000 0.000 0.000
La 0.250 0.750 0.500
Mo 0.500 0.500 0.000
Te 0.750 0.250 0.500

***

# La2TeMo

A geometry-optimized La2TeMo structure (GGA-PBE, Alexandria via LeMat-Bulk).

ΔE_f (raw)   -0.44 eV per formula unit

abc: 8.721 8.721 8.721
angles: 27.30 27.30 27.30
Atoms (fractional coordinates):
La 0.994 0.994 0.994
La 0.506 0.506 0.506
Mo 0.250 0.250 0.250
Te 0.750 0.750 0.750

***

| no. | magnetic moment (μB per formula unit) |
| --- | --- |
| 1 | 0.00 |
| 2 | 0.00 |
| 3 | 0.00 |
| 4 | 1.41 |
| 5 | 1.77 |
| 6 | 2.77 |
| 7 | 1.04 |
| 8 | 1.33 |
| 9 | 0.00 |
| 10 | 3.69 |
| 11 | 0.00 |
| 12 | 0.00 |
| 13 | 0.79 |
| 14 | 2.06 |
| 15 | 1.35 |